w.
{
  "formula": "Ac2LaTh",
  "functional": "PBE",
  "state": "relaxed",
  "cell": [[-2.888, -4.206, 1.649], [1.349, -2.678, -4.468], [4.329, -1.992, 2.501]],
  "species": ["Ac", "Ac", "Th", "La"],
  "frac_coords": [[0.000, 0.000, 0.500], [0.000, 0.500, 0.000], [0.500, 0.500, 0.500], [0.500, 0.000, 0.000]],
  "n_ef_per_ev_atom": 1.718,
  "m_tot_mub_per_fu": 0.0,
  "sg": "P4/mmm"
}

x.
{
  "formula": "Ac2LaTh",
  "functional": "PBE",
  "state": "relaxed",
  "cell": [[6.067, 0.000, 0.000], [3.033, 5.254, 0.000], [3.033, 1.751, 4.953]],
  "species": ["Ac", "Ac", "Th", "La"],
  "frac_coords": [[0.250, 0.250, 0.250], [0.750, 0.750, 0.750], [0.000, 0.000, 0.000], [0.500, 0.500, 0.500]],
  "n_ef_per_ev_atom": 2.862,
  "m_tot_mub_per_fu": 1.2,
  "sg": "Fm-3m"
}

y.
{
  "formula": "Ac2LaTh",
  "functional": "PBE",
  "state": "relaxed",
  "cell": [[-0.589, 0.195, 3.757], [-0.068, -3.186, 2.084], [12.078, -0.031, 3.824]],
  "species": ["Ac", "Ac", "La", "Th"],
  "frac_coords": [[0.080, 0.080, 0.759], [0.253, 0.253, 0.241], [0.499, 0.499, 0.502], [0.667, 0.667, 0.999]],
  "n_ef_per_ev_atom": 1.764,
  "m_tot_mub_per_fu": 0.0,
  "sg": "R3m"
}

z.
{
  "formula": "Ac2LaTh",
  "functional": "PBE",
  "state": "relaxed",
  "cell": [[3.717, 0.000, 0.000], [1.859, 3.219, 0.000], [1.859, 1.073, 13.368]],
  "species": ["Ac", "Ac", "Th", "La"],
  "frac_coords": [[0.088, 0.088, 0.736], [0.912, 0.912, 0.264], [0.000, 0.000, 0.000], [0.500, 0.500, 0.500]],
  "n_ef_per_ev_atom": 1.795,
  "m_tot_mub_per_fu": 0.0,
  "sg": "R-3m"
}

Computed relative energies in units of eV/atom: w 0.025; x 0.158; y 0.000; z 0.194

w.
{
  "formula": "AcLaTl",
  "functional": "PBE",
  "state": "relaxed",
  "cell": [[4.983, 0.000, 0.000], [0.000, 4.983, 0.000], [0.000, 0.000, 8.905]],
  "species": ["Ac", "Ac", "La", "La", "Tl", "Tl"],
  "frac_coords": [[0.000, 0.500, 0.858], [0.500, 0.000, 0.142], [0.500, 0.500, 0.500], [0.000, 0.000, 0.500], [0.000, 0.500, 0.237], [0.500, 0.000, 0.763]],
  "n_ef_per_ev_atom": 1.316,
  "m_tot_mub_per_fu": 0.5,
  "sg": "P4/nmm"
}

x.
{
  "formula": "AcLaTl",
  "functional": "PBE",
  "state": "relaxed",
  "cell": [[-1.055, 1.627, -3.567], [-1.884, -4.894, -1.675], [-3.363, 3.504, 2.593]],
  "species": ["Ac", "Tl", "La"],
  "frac_coords": [[0.354, 0.333, 0.667], [0.712, 0.667, 0.333], [0.935, 0.000, 0.000]],
  "n_ef_per_ev_atom": 0.835,
  "m_tot_mub_per_fu": 0.0,
  "sg": "P3m1"
}

y.
{
  "formula": "AcLaTl",
  "functional": "PBE",
  "state": "relaxed",
  "cell": [[4.107, 0.000, 0.000], [0.000, 4.107, 0.000], [-2.053, -2.053, 6.436]],
  "species": ["Ac", "Tl", "La"],
  "frac_coords": [[0.604, 0.604, 0.209], [0.943, 0.943, 0.885], [0.303, 0.303, 0.606]],
  "n_ef_per_ev_atom": 1.629,
  "m_tot_mub_per_fu": 0.0,
  "sg": "I4mm"
}

z.
{
  "formula": "AcLaTl",
  "functional": "PBE",
  "state": "relaxed",
  "cell": [[-5.529, 0.388, -0.276], [-3.105, -1.459, 4.362], [-2.659, 3.886, 2.937]],
  "species": ["Ac", "Tl", "La"],
  "frac_coords": [[0.000, 0.000, 0.000], [0.250, 0.250, 0.250], [0.500, 0.500, 0.500]],
  "n_ef_per_ev_atom": 1.470,
  "m_tot_mub_per_fu": 0.4,
  "sg": "F-43m"
}

Computed relative energies in units of eV/atom: w 0.000; x 0.100; y 0.050; z 0.179

w.
{
  "formula": "Ac6LaTl2",
  "functional": "PBE",
  "state": "relaxed",
  "cell": [[4.050, 0.000, 0.643], [1.771, 6.838, 1.922], [0.007, -0.043, 13.029]],
  "species": ["Ac", "Ac", "Ac", "Ac", "Ac", "Ac", "La", "Tl", "Tl"],
  "frac_coords": [[0.682, 0.512, 0.123], [0.318, 0.488, 0.877], [0.311, 0.787, 0.592], [0.976, 0.713, 0.335], [0.024, 0.287, 0.665], [0.689, 0.213, 0.408], [0.000, 0.000, 0.000], [0.358, 0.092, 0.192], [0.642, 0.908, 0.808]],
  "n_ef_per_ev_atom": 1.225,
  "m_tot_mub_per_fu": 0.0,
  "sg": "C2/m"
}

x.
{
  "formula": "Ac6LaTl2",
  "functional": "PBE",
  "state": "relaxed",
  "cell": [[-3.021, 4.225, -4.189], [-6.135, 4.375, 7.427], [5.089, 8.565, 3.560]],
  "species": ["Ac", "Ac", "Ac", "Ac", "Ac", "Ac", "Ac", "Ac", "Ac", "Ac", "Ac", "Ac", "La", "La", "Tl", "Tl", "Tl", "Tl"],
  "frac_coords": [[0.489, 0.678, 0.438], [0.011, 0.562, 0.322], [0.511, 0.322, 0.562], [0.989, 0.438, 0.678], [0.673, 0.101, 0.358], [0.827, 0.642, 0.899], [0.327, 0.899, 0.642], [0.173, 0.358, 0.101], [0.311, 0.743, 0.025], [0.189, 0.975, 0.257], [0.689, 0.257, 0.975], [0.811, 0.025, 0.743], [0.250, 0.111, 0.889], [0.750, 0.889, 0.111], [0.410, 0.533, 0.786], [0.090, 0.214, 0.467], [0.590, 0.467, 0.214], [0.910, 0.786, 0.533]],
  "n_ef_per_ev_atom": 1.396,
  "m_tot_mub_per_fu": 0.0,
  "sg": "C2/c"
}

Computed relative energies in units of eV/atom: w 0.000; x 0.062

w.
{
  "formula": "AcLa5Tl2",
  "functional": "PBE",
  "state": "relaxed",
  "cell": [[5.119, 0.000, 0.000], [0.000, 7.243, 0.000], [0.000, 0.000, 14.470]],
  "species": ["Ac", "Ac", "La", "La", "La", "La", "La", "La", "La", "La", "La", "La", "Tl", "Tl", "Tl", "Tl"],
  "frac_coords": [[0.000, 0.000, 0.500], [0.000, 0.500, 0.000], [0.000, 0.000, 0.000], [0.000, 0.500, 0.500], [0.000, 0.503, 0.749], [0.000, 0.497, 0.251], [0.000, 0.997, 0.249], [0.000, 0.003, 0.751], [0.500, 0.243, 0.871], [0.500, 0.757, 0.129], [0.500, 0.257, 0.371], [0.500, 0.743, 0.629], [0.500, 0.253, 0.626], [0.500, 0.747, 0.374], [0.500, 0.247, 0.126], [0.500, 0.753, 0.874]],
  "n_ef_per_ev_atom": 1.514,
  "m_tot_mub_per_fu": 0.0,
  "sg": "Pbam"
}

x.
{
  "formula": "AcLa5Tl2",
  "functional": "PBE",
  "state": "relaxed",
  "cell": [[-2.376, -0.786, 2.930], [5.155, -4.579, 5.486], [2.030, 6.260, 5.859]],
  "species": ["Ac", "La", "La", "La", "La", "La", "Tl", "Tl"],
  "frac_coords": [[0.000, 0.000, 0.000], [0.000, 0.500, 0.500], [0.640, 0.582, 0.137], [0.360, 0.418, 0.863], [0.360, 0.863, 0.418], [0.640, 0.137, 0.582], [0.735, 0.765, 0.765], [0.265, 0.235, 0.235]],
  "n_ef_per_ev_atom": 1.501,
  "m_tot_mub_per_fu": 0.0,
  "sg": "Immm"
}

Computed relative energies in units of eV/atom: w 0.000; x 0.053

w.
{
  "formula": "Ac2La7Tl2",
  "functional": "PBE",
  "state": "relaxed",
  "cell": [[7.021, -0.003, -1.650], [0.005, 9.500, 0.003], [-2.084, -0.002, 6.905]],
  "species": ["Ac", "Ac", "La", "La", "La", "La", "La", "La", "La", "Tl", "Tl"],
  "frac_coords": [[0.760, 0.500, 0.760], [0.240, 0.500, 0.240], [0.000, 0.294, 0.500], [0.500, 0.706, 0.000], [0.000, 0.706, 0.500], [0.500, 0.294, 0.000], [0.000, 0.000, 0.000], [0.500, 0.823, 0.500], [0.500, 0.177, 0.500], [0.733, 0.000, 0.267], [0.267, 0.000, 0.733]],
  "n_ef_per_ev_atom": 1.672,
  "m_tot_mub_per_fu": 0.0,
  "sg": "Cmmm"
}

x.
{
  "formula": "Ac2La7Tl2",
  "functional": "PBE",
  "state": "relaxed",
  "cell": [[6.478, -0.035, -0.272], [-2.440, 6.001, -0.272], [-0.372, -0.549, 10.229]],
  "species": ["Ac", "Ac", "La", "La", "La", "La", "La", "La", "La", "Tl", "Tl"],
  "frac_coords": [[0.745, 0.255, 0.500], [0.255, 0.745, 0.500], [0.196, 0.615, 0.146], [0.385, 0.804, 0.854], [0.804, 0.385, 0.854], [0.615, 0.196, 0.146], [0.000, 0.000, 0.000], [0.280, 0.280, 0.709], [0.720, 0.720, 0.291], [0.797, 0.797, 0.664], [0.203, 0.203, 0.336]],
  "n_ef_per_ev_atom": 1.413,
  "m_tot_mub_per_fu": 0.0,
  "sg": "C2/m"
}

Computed relative energies in units of eV/atom: w 0.188; x 0.000